# 1
First-principles (PBEsol) data for a relaxed structure of K5Hg, as listed in Alexandria.

- energy above the most stable polymorph in this dataset (meV/atom) = 0
- uncorrected energy (eV/f.u.) = -6.55
- E_form (eV per atom) = -0.052
- calculated density (kg/m3) = 1965
- magnetization (μB/f.u.) = 0.0
- D(E_F) (states/eV per cell) = 7.693

a = 15.198 Å, b = 4.426 Å, c = 10.833 Å
α = 90.00°, β = 113.25°, γ = 90.00°
Space group Cm (No. 8)
One atom of each set of equivalent atoms:
K (0.000, 0.000, 0.000) (multiplicity 2)
K (0.039, 0.000, 0.402) (multiplicity 2)
K (0.207, 0.500, 0.845) (multiplicity 2)
K (0.248, 0.500, 0.248) (multiplicity 2)
K (0.373, 0.000, 0.624) (multiplicity 2)
Hg (0.373, 0.000, 0.123) (multiplicity 2)

---

# 2
First-principles (PBEsol) data for a relaxed structure of KHg5, as listed in Alexandria.

- energy above the most stable polymorph in this dataset (meV/atom) = 0
- uncorrected energy (eV/f.u.) = -4.92
- E_form (eV per atom) = -0.158
- calculated density (kg/m3) = 11248
- magnetization (μB/f.u.) = 0.0
- D(E_F) (states/eV per cell) = 4.559

a = 8.944 Å, b = 5.159 Å, c = 6.667 Å
α = 90.00°, β = 90.32°, γ = 90.00°
Space group C2/m (No. 12)
One atom of each set of equivalent atoms:
K (0.000, 0.000, 0.000) (multiplicity 2)
Hg (0.000, 0.000, 0.500) (multiplicity 2)
Hg (0.166, 0.500, 0.734) (multiplicity 4)
Hg (0.168, 0.500, 0.267) (multiplicity 4)

---

# 3
First-principles (PBEsol) data for a relaxed structure of KHg5, as listed in Alexandria.

- energy above the most stable polymorph in this dataset (meV/atom) = 20
- uncorrected energy (eV/f.u.) = -4.80
- E_form (eV per atom) = -0.138
- calculated density (kg/m3) = 10985
- magnetization (μB/f.u.) = 0.0
- D(E_F) (states/eV per cell) = 2.138

a = 3.899 Å, b = 3.899 Å, c = 10.364 Å
α = 90.00°, β = 90.00°, γ = 90.00°
Space group P4/mmm (No. 123)
One atom of each set of equivalent atoms:
K (0.000, 0.000, 0.000) (multiplicity 1)
Hg (0.000, 0.000, 0.348) (multiplicity 2)
Hg (0.500, 0.500, 0.203) (multiplicity 2)
Hg (0.500, 0.500, 0.500) (multiplicity 1)

---

# 4
First-principles (PBEsol) data for a relaxed structure of KHg6, as listed in Alexandria.

- uncorrected energy (eV/f.u.) = -5.62
- E_form (eV per atom) = -0.155
- calculated density (kg/m3) = 11413
- magnetization (μB/f.u.) = 0.0
- D(E_F) (states/eV per cell) = 9.300

a = 13.269 Å, b = 5.198 Å, c = 10.485 Å
α = 90.00°, β = 90.00°, γ = 90.00°
Space group Pnma (No. 62)
One atom of each set of equivalent atoms:
K (0.179, 0.250, 0.132) (multiplicity 4)
Hg (0.003, 0.750, 0.106) (multiplicity 4)
Hg (0.047, 0.750, 0.642) (multiplicity 4)
Hg (0.090, 0.750, 0.361) (multiplicity 4)
Hg (0.143, 0.750, 0.896) (multiplicity 4)
Hg (0.151, 0.250, 0.500) (multiplicity 4)
Hg (0.197, 0.250, 0.771) (multiplicity 4)

---

# 5
First-principles (PBEsol) data for a relaxed structure of KHg2, as listed in Alexandria.

- uncorrected energy (eV/f.u.) = -2.90
- E_form (eV per atom) = -0.209
- calculated density (kg/m3) = 8384
- magnetization (μB/f.u.) = 0.0
- D(E_F) (states/eV per cell) = 2.929

a = 3.944 Å, b = 3.944 Å, c = 11.210 Å
α = 90.00°, β = 90.00°, γ = 90.00°
Space group I4/mmm (No. 139)
One atom of each set of equivalent atoms:
K (0.000, 0.000, 0.000) (multiplicity 2)
Hg (0.000, 0.000, 0.309) (multiplicity 4)

---

# 6
First-principles (PBEsol) data for a relaxed structure of K3Hg11, as listed in Alexandria.

- uncorrected energy (eV/f.u.) = -12.61
- E_form (eV per atom) = -0.212
- calculated density (kg/m3) = 10144
- magnetization (μB/f.u.) = 0.0
- D(E_F) (states/eV per cell) = 9.883

a = 5.013 Å, b = 10.417 Å, c = 14.569 Å
α = 90.00°, β = 90.00°, γ = 90.00°
Space group Immm (No. 71)
One atom of each set of equivalent atoms:
K (0.000, 0.000, 0.000) (multiplicity 2)
K (0.000, 0.000, 0.301) (multiplicity 4)
Hg (0.000, 0.191, 0.500) (multiplicity 4)
Hg (0.000, 0.285, 0.136) (multiplicity 8)
Hg (0.000, 0.361, 0.334) (multiplicity 8)
Hg (0.000, 0.500, 0.000) (multiplicity 2)

---

# 7
First-principles (PBEsol) data for a relaxed structure of KHg5, as listed in Alexandria.

- energy above the most stable polymorph in this dataset (meV/atom) = 17
- uncorrected energy (eV/f.u.) = -4.81
- E_form (eV per atom) = -0.141
- calculated density (kg/m3) = 10530
- magnetization (μB/f.u.) = 0.0
- D(E_F) (states/eV per cell) = 2.636

a = 6.0267 Å, b = 6.0267 Å, c = 5.2244 Å
α = 90.00°, β = 90.00°, γ = 120.00°
Space group P6/mmm (No. 191)
One atom of each set of equivalent atoms:
K (0.0000, 0.0000, 0.0000) (multiplicity 1)
Hg (0.0000, 0.5000, 0.5000) (multiplicity 3)
Hg (0.3333, 0.6667, 0.0000) (multiplicity 2)

---

# 8
First-principles (PBEsol) data for a relaxed structure of KHg, as listed in Alexandria.

- uncorrected energy (eV/f.u.) = -2.03
- E_form (eV per atom) = -0.163
- calculated density (kg/m3) = 5364
- magnetization (μB/f.u.) = 0.0
- D(E_F) (states/eV per cell) = 1.869

a = 4.007 Å, b = 4.007 Å, c = 9.241 Å
α = 90.00°, β = 90.00°, γ = 90.00°
Space group P4/nmm (No. 129, origin choice 2)
One atom of each set of equivalent atoms:
K (0.250, 0.250, 0.202) (multiplicity 2)
Hg (0.250, 0.250, 0.570) (multiplicity 2)

---

# 9
First-principles (PBEsol) data for a relaxed structure of KHg4, as listed in Alexandria.

- uncorrected energy (eV/f.u.) = -4.11
- E_form (eV per atom) = -0.141
- calculated density (kg/m3) = 9982
- magnetization (μB/f.u.) = 0.0
- D(E_F) (states/eV per cell) = 19.630

a = 10.384 Å, b = 10.384 Å, c = 10.384 Å
α = 90.00°, β = 90.00°, γ = 90.00°
Space group I-43m (No. 217)
One atom of each set of equivalent atoms:
K (0.213, 0.213, 0.787) (multiplicity 8)
Hg (0.000, 0.000, 0.347) (multiplicity 12)
Hg (0.000, 0.250, 0.500) (multiplicity 12)
Hg (0.107, 0.107, 0.107) (multiplicity 8)

---

# 10
First-principles (PBEsol) data for a relaxed structure of KHg2, as listed in Alexandria.

- uncorrected energy (eV/f.u.) = -2.72
- E_form (eV per atom) = -0.151
- calculated density (kg/m3) = 8278
- magnetization (μB/f.u.) = 0.0
- D(E_F) (states/eV per cell) = 2.816

a = 5.5926 Å, b = 5.5926 Å, c = 6.5213 Å
α = 90.00°, β = 90.00°, γ = 120.00°
Space group P6_3/mmc (No. 194)
One atom of each set of equivalent atoms:
K (0.3333, 0.6667, 0.2500) (multiplicity 2)
Hg (0.0000, 0.0000, 0.0000) (multiplicity 2)
Hg (0.3333, 0.6667, 0.7500) (multiplicity 2)

---

# 11
First-principles (PBEsol) data for a relaxed structure of KHg2, as listed in Alexandria.

- uncorrected energy (eV/f.u.) = -3.06
- E_form (eV per atom) = -0.264
- calculated density (kg/m3) = 8239
- magnetization (μB/f.u.) = 0.0
- D(E_F) (states/eV per cell) = 6.161

a = 5.128 Å, b = 7.899 Å, c = 8.763 Å
α = 90.00°, β = 90.00°, γ = 90.00°
Space group Imma (No. 74)
One atom of each set of equivalent atoms:
K (0.000, 0.250, 0.052) (multiplicity 4)
Hg (0.000, 0.058, 0.662) (multiplicity 8)

---

# 12
First-principles (PBEsol) data for a relaxed structure of K2Hg7, as listed in Alexandria.

- uncorrected energy (eV/f.u.) = -8.24
- E_form (eV per atom) = -0.223
- calculated density (kg/m3) = 10055
- magnetization (μB/f.u.) = 0.0
- D(E_F) (states/eV per cell) = 2.460

a = 6.7011 Å, b = 6.7011 Å, c = 6.2952 Å
α = 90.00°, β = 90.00°, γ = 120.00°
Space group P-3m1 (No. 164)
One atom of each set of equivalent atoms:
K (0.3333, 0.6667, 0.3449) (multiplicity 2)
Hg (0.0000, 0.0000, 0.5000) (multiplicity 1)
Hg (0.1811, 0.3623, 0.8324) (multiplicity 6)

---

> What is the E_form in the fifth record?

-0.209 eV per atom

---

Please write out number 12 again, unchanged.
First-principles (PBEsol) data for a relaxed structure of K2Hg7, as listed in Alexandria.

- uncorrected energy (eV/f.u.) = -8.24
- E_form (eV per atom) = -0.223
- calculated density (kg/m3) = 10055
- magnetization (μB/f.u.) = 0.0
- D(E_F) (states/eV per cell) = 2.460

a = 6.7011 Å, b = 6.7011 Å, c = 6.2952 Å
α = 90.00°, β = 90.00°, γ = 120.00°
Space group P-3m1 (No. 164)
One atom of each set of equivalent atoms:
K (0.3333, 0.6667, 0.3449) (multiplicity 2)
Hg (0.0000, 0.0000, 0.5000) (multiplicity 1)
Hg (0.1811, 0.3623, 0.8324) (multiplicity 6)

---

> Among the records above, which one has the highest calculated density?

KHg6

---

> Which formula does entry 3 have?

KHg5